*a*
Compound: TbNdTm3
Source: Alexandria via LeMat-Bulk
Functional: GGA-PBE
Structure: optimized geometry

The structure in CIF format:
```
data_TbNdTm3
_symmetry_space_group_name_H-M 'P 1'
_symmetry_Int_Tables_number 1
_symmetry_space_group_name_Hall 'P 1'
_cell_length_a 9.559
_cell_length_b 5.622
_cell_length_c 6.257
_cell_angle_alpha 90.00
_cell_angle_beta 109.06
_cell_angle_gamma 90.00
loop_
_atom_site_label
_atom_site_fract_x
_atom_site_fract_y
_atom_site_fract_z
Tb1 0.600 0.950 0.966
Tb2 0.400 0.450 0.034
Nd1 0.200 0.451 0.432
Nd2 0.800 0.951 0.568
Tm1 0.200 0.950 0.768
Tm2 0.000 0.450 0.836
Tm3 0.599 0.450 0.635
Tm4 0.401 0.950 0.365
Tm5 0.000 0.950 0.164
Tm6 0.800 0.450 0.232
```

Crystal system: monoclinic
ρ (Mg/m³): 8.5

***

*b*
Compound: TbNdTm3
Source: Alexandria via LeMat-Bulk
Functional: GGA-PBE
Structure: optimized geometry

The structure in CIF format:
```
data_TbNdTm3
_symmetry_space_group_name_H-M 'P 1'
_symmetry_Int_Tables_number 1
_symmetry_space_group_name_Hall 'P 1'
_cell_length_a 3.593
_cell_length_b 8.571
_cell_length_c 11.455
_cell_angle_alpha 90.00
_cell_angle_beta 90.00
_cell_angle_gamma 102.01
loop_
_atom_site_label
_atom_site_fract_x
_atom_site_fract_y
_atom_site_fract_z
Tb1 0.314 0.126 0.250
Tb2 0.686 0.874 0.750
Nd1 0.993 0.475 0.250
Nd2 0.007 0.525 0.750
Tm1 0.839 0.181 0.999
Tm2 0.161 0.819 0.001
Tm3 0.839 0.181 0.501
Tm4 0.161 0.819 0.499
Tm5 0.657 0.809 0.250
Tm6 0.343 0.191 0.750
```

Crystal system: monoclinic
ρ (Mg/m³): 7.8

***

Most stable pick: *a*. Distance to second place: 291 meV/atom.

***

*a*
Compound: TbNdYTm
Source: Alexandria via LeMat-Bulk
Functional: GGA-PBE
Structure: optimized geometry

The structure in CIF format:
```
data_TbNdYTm
_symmetry_space_group_name_H-M 'P 1'
_symmetry_Int_Tables_number 1
_symmetry_space_group_name_Hall 'P 1'
_cell_length_a 3.720
_cell_length_b 5.891
_cell_length_c 6.889
_cell_angle_alpha 115.32
_cell_angle_beta 74.39
_cell_angle_gamma 90.00
loop_
_atom_site_label
_atom_site_fract_x
_atom_site_fract_y
_atom_site_fract_z
Tb1 0.178 0.884 0.769
Nd1 0.662 0.399 0.798
Y1 0.429 0.136 0.271
Tm1 0.918 0.646 0.291
```

Crystal system: monoclinic
ρ (Mg/m³): 7.2

***

*b*
Compound: TbNdYTm
Source: Alexandria via LeMat-Bulk
Functional: GGA-PBE
Structure: optimized geometry

The structure in CIF format:
```
data_TbNdYTm
_symmetry_space_group_name_H-M 'P 1'
_symmetry_Int_Tables_number 1
_symmetry_space_group_name_Hall 'P 1'
_cell_length_a 5.702
_cell_length_b 5.702
_cell_length_c 5.702
_cell_angle_alpha 60.00
_cell_angle_beta 60.00
_cell_angle_gamma 60.00
loop_
_atom_site_label
_atom_site_fract_x
_atom_site_fract_y
_atom_site_fract_z
Y1 0.750 0.750 0.750
Nd1 0.250 0.250 0.250
Tm1 0.000 0.000 0.000
Tb1 0.500 0.500 0.500
```

Crystal system: cubic
ρ (Mg/m³): 7.1

***

Most stable pick: *a*. Distance to second place: 7 meV/atom.

***

*a*
Compound: Tb4Nd3Y
Source: Alexandria via LeMat-Bulk
Functional: GGA-PBE
Structure: optimized geometry

The structure in CIF format:
```
data_Tb4Nd3Y
_symmetry_space_group_name_H-M 'P 1'
_symmetry_Int_Tables_number 1
_symmetry_space_group_name_Hall 'P 1'
_cell_length_a 6.336
_cell_length_b 7.351
_cell_length_c 11.564
_cell_angle_alpha 90.00
_cell_angle_beta 90.00
_cell_angle_gamma 90.00
loop_
_atom_site_label
_atom_site_fract_x
_atom_site_fract_y
_atom_site_fract_z
Tb1 0.148 0.877 0.000
Tb2 0.647 0.121 0.000
Tb3 0.980 0.122 0.248
Tb4 0.480 0.878 0.252
Tb5 0.147 0.879 0.500
Tb6 0.648 0.123 0.500
Tb7 0.480 0.878 0.748
Tb8 0.980 0.122 0.752
Nd1 0.648 0.628 0.000
Nd2 0.983 0.627 0.251
Nd3 0.483 0.373 0.249
Nd4 0.148 0.372 0.500
Nd5 0.483 0.373 0.751
Nd6 0.983 0.627 0.749
Y1 0.146 0.372 0.000
Y2 0.646 0.628 0.500
```

Crystal system: orthorhombic
ρ (Mg/m³): 7.1

***

*b*
Compound: Tb4Nd3Y
Source: Alexandria via LeMat-Bulk
Functional: GGA-PBE
Structure: optimized geometry

The structure in CIF format:
```
data_Tb4Nd3Y
_symmetry_space_group_name_H-M 'P 1'
_symmetry_Int_Tables_number 1
_symmetry_space_group_name_Hall 'P 1'
_cell_length_a 3.499
_cell_length_b 6.808
_cell_length_c 11.990
_cell_angle_alpha 106.56
_cell_angle_beta 98.39
_cell_angle_gamma 90.00
loop_
_atom_site_label
_atom_site_fract_x
_atom_site_fract_y
_atom_site_fract_z
Y1 0.500 0.000 0.000
Nd1 0.000 0.500 0.000
Nd2 0.127 0.883 0.253
Nd3 0.873 0.117 0.747
Tb1 0.741 0.249 0.481
Tb2 0.259 0.751 0.519
Tb3 0.125 0.366 0.250
Tb4 0.875 0.634 0.750
```

Crystal system: monoclinic
ρ (Mg/m³): 7.1

***

Most stable pick: *a*. Distance to second place: 132 meV/atom.

***

*a*
Compound: TbNd3Y6
Source: Alexandria via LeMat-Bulk
Functional: GGA-PBE
Structure: optimized geometry

The structure in CIF format:
```
data_TbNd3Y6
_symmetry_space_group_name_H-M 'P 1'
_symmetry_Int_Tables_number 1
_symmetry_space_group_name_Hall 'P 1'
_cell_length_a 9.976
_cell_length_b 9.976
_cell_length_c 6.957
_cell_angle_alpha 44.19
_cell_angle_beta 44.19
_cell_angle_gamma 60.00
loop_
_atom_site_label
_atom_site_fract_x
_atom_site_fract_y
_atom_site_fract_z
Tb1 0.851 0.851 0.448
Nd1 0.351 0.351 0.948
Nd2 0.601 0.601 0.198
Nd3 0.100 0.100 0.700
Y1 0.926 0.602 0.201
Y2 0.272 0.926 0.201
Y3 0.602 0.272 0.201
Y4 0.097 0.428 0.701
Y5 0.774 0.097 0.701
Y6 0.428 0.774 0.701
```

Crystal system: trigonal
ρ (Mg/m³): 5.6

***

*b*
Compound: TbNd3Y6
Source: Alexandria via LeMat-Bulk
Functional: GGA-PBE
Structure: optimized geometry

The structure in CIF format:
```
data_TbNd3Y6
_symmetry_space_group_name_H-M 'P 1'
_symmetry_Int_Tables_number 1
_symmetry_space_group_name_Hall 'P 1'
_cell_length_a 6.446
_cell_length_b 10.948
_cell_length_c 10.948
_cell_angle_alpha 119.82
_cell_angle_beta 90.00
_cell_angle_gamma 90.00
loop_
_atom_site_label
_atom_site_fract_x
_atom_site_fract_y
_atom_site_fract_z
Tb1 0.136 0.193 0.807
Tb2 0.636 0.807 0.193
Nd1 0.460 0.936 0.707
Nd2 0.960 0.707 0.936
Nd3 0.068 0.387 0.613
Nd4 0.568 0.613 0.387
Nd5 0.960 0.064 0.293
Nd6 0.460 0.293 0.064
Y1 0.051 0.712 0.624
Y2 0.551 0.624 0.712
Y3 0.371 0.528 0.945
Y4 0.871 0.945 0.528
Y5 0.359 0.961 0.039
Y6 0.658 0.267 0.733
Y7 0.158 0.733 0.267
Y8 0.859 0.039 0.961
Y9 0.371 0.055 0.472
Y10 0.871 0.472 0.055
Y11 0.051 0.376 0.288
Y12 0.551 0.288 0.376
```

Crystal system: orthorhombic
ρ (Mg/m³): 5.6

***

Most stable pick: *b*. Distance to second place: 116 meV/atom.

***

*a*
Compound: Tb7Nd12Y
Source: Alexandria via LeMat-Bulk
Functional: GGA-PBE
Structure: optimized geometry

The structure in CIF format:
```
data_Tb7Nd12Y
_symmetry_space_group_name_H-M 'P 1'
_symmetry_Int_Tables_number 1
_symmetry_space_group_name_Hall 'P 1'
_cell_length_a 6.265
_cell_length_b 11.562
_cell_length_c 11.562
_cell_angle_alpha 116.81
_cell_angle_beta 100.41
_cell_angle_gamma 100.41
loop_
_atom_site_label
_atom_site_fract_x
_atom_site_fract_y
_atom_site_fract_z
Tb1 0.126 0.754 0.001
Tb2 0.874 0.001 0.246
Tb3 0.628 0.754 0.754
Tb4 0.500 0.000 0.000
Tb5 0.372 0.246 0.246
Tb6 0.126 0.999 0.754
Tb7 0.874 0.246 0.999
Nd1 0.088 0.588 0.176
Nd2 0.088 0.176 0.588
Nd3 0.586 0.647 0.000
Nd4 0.415 0.000 0.354
Nd5 0.499 0.412 0.588
Nd6 0.061 0.646 0.647
Nd7 0.939 0.354 0.353
Nd8 0.501 0.588 0.412
Nd9 0.585 0.000 0.646
Nd10 0.414 0.353 0.000
Nd11 0.912 0.824 0.412
Nd12 0.912 0.412 0.824
Y1 0.000 0.000 0.000
```

Crystal system: trigonal
ρ (Mg/m³): 6.9

***

*b*
Compound: Tb7Nd12Y
Source: Alexandria via LeMat-Bulk
Functional: GGA-PBE
Structure: optimized geometry

The structure in CIF format:
```
data_Tb7Nd12Y
_symmetry_space_group_name_H-M 'P 1'
_symmetry_Int_Tables_number 1
_symmetry_space_group_name_Hall 'P 1'
_cell_length_a 8.858
_cell_length_b 8.858
_cell_length_c 8.858
_cell_angle_alpha 87.83
_cell_angle_beta 87.83
_cell_angle_gamma 87.83
loop_
_atom_site_label
_atom_site_fract_x
_atom_site_fract_y
_atom_site_fract_z
Tb1 0.852 0.610 0.930
Tb2 0.390 0.070 0.148
Tb3 0.070 0.148 0.390
Tb4 0.500 0.500 0.500
Tb5 0.930 0.852 0.610
Tb6 0.610 0.930 0.852
Tb7 0.148 0.390 0.070
Nd1 0.851 0.257 0.725
Nd2 0.743 0.275 0.149
Nd3 0.613 0.138 0.489
Nd4 0.862 0.511 0.387
Nd5 0.275 0.149 0.743
Nd6 0.511 0.387 0.862
Nd7 0.489 0.613 0.138
Nd8 0.725 0.851 0.257
Nd9 0.138 0.489 0.613
Nd10 0.387 0.862 0.511
Nd11 0.257 0.725 0.851
Nd12 0.149 0.743 0.275
Y1 0.000 0.000 0.000
```

Crystal system: trigonal
ρ (Mg/m³): 7.0

***

Most stable pick: *b*. Distance to second place: 7 meV/atom.

***

*a*
Compound: TbNd4Y
Source: Alexandria via LeMat-Bulk
Functional: GGA-PBE
Structure: optimized geometry

The structure in CIF format:
```
data_TbNd4Y
_symmetry_space_group_name_H-M 'P 1'
_symmetry_Int_Tables_number 1
_symmetry_space_group_name_Hall 'P 1'
_cell_length_a 8.143
_cell_length_b 8.143
_cell_length_c 5.162
_cell_angle_alpha 90.02
_cell_angle_beta 90.02
_cell_angle_gamma 36.97
loop_
_atom_site_label
_atom_site_fract_x
_atom_site_fract_y
_atom_site_fract_z
Tb1 0.000 0.000 0.000
Nd1 0.335 0.335 0.000
Nd2 0.665 0.665 0.000
Nd3 0.834 0.834 0.500
Nd4 0.166 0.166 0.500
Y1 0.500 0.500 0.500
```

Crystal system: orthorhombic
ρ (Mg/m³): 6.7

***

*b*
Compound: TbNd4Y
Source: Alexandria via LeMat-Bulk
Functional: GGA-PBE
Structure: optimized geometry

The structure in CIF format:
```
data_TbNd4Y
_symmetry_space_group_name_H-M 'P 1'
_symmetry_Int_Tables_number 1
_symmetry_space_group_name_Hall 'P 1'
_cell_length_a 3.499
_cell_length_b 8.328
_cell_length_c 8.328
_cell_angle_alpha 90.17
_cell_angle_beta 90.00
_cell_angle_gamma 90.00
loop_
_atom_site_label
_atom_site_fract_x
_atom_site_fract_y
_atom_site_fract_z
Tb1 0.500 0.000 0.000
Nd1 0.500 0.260 0.740
Nd2 0.000 0.761 0.761
Nd3 0.000 0.239 0.239
Nd4 0.500 0.740 0.260
Y1 0.000 0.500 0.500
```

Crystal system: orthorhombic
ρ (Mg/m³): 5.6

***

Most stable pick: *a*. Distance to second place: 600 meV/atom.